BaNi2Pt, relaxed, DFT GGA-PBE; symmetry = P4/mmm; ΔH_f (0 K) = 360 meV per atom; E_tot = -18.1 eV per cell; M_tot = 0.1605 μB per atom
1.0
4.403 0.000 0.000
0.000 4.403 0.000
0.000 0.000 3.789
Ba Ni Pt
1 2 1
direct
0.000 0.000 0.000 Ba
0.000 0.500 0.500 Ni
0.500 0.000 0.500 Ni
0.500 0.500 0.000 Pt



TaIrPt2, relaxed, DFT GGA-PBE; symmetry = Cm; ΔH_f (0 K) = -418 meV per atom; E_tot = -68.9 eV per cell; M_tot = 0.0000 μB per atom
1.0
9.357 0.000 0.000
0.000 2.837 0.000
-0.898 0.000 4.769
Ta Ir Pt
2 2 4
direct
0.000 0.000 0.000 Ta
0.500 0.500 0.000 Ta
0.256 0.000 0.759 Ir
0.756 0.500 0.759 Ir
0.005 0.500 0.507 Pt
0.249 0.500 0.255 Pt
0.505 0.000 0.507 Pt
0.749 0.000 0.255 Pt



BaInRh2, relaxed, DFT GGA-PBE; symmetry = P4mm; ΔH_f (0 K) = 37 meV per atom; E_tot = -19.2 eV per cell; M_tot = 0.0003 μB per atom
1.0
3.464 0.000 0.000
0.000 3.464 0.000
0.000 0.000 7.649
Ba In Rh
1 1 2
direct
0.000 0.000 0.000 Ba
0.500 0.500 0.356 In
0.000 0.000 0.565 Rh
0.500 0.500 0.709 Rh



ZnCrCl2, relaxed, DFT GGA-PBE; symmetry = P4mm; E_tot = -15.7 eV per cell; M_tot = 1.0022 μB per atom
1.0
3.196 0.000 0.000
0.000 3.196 0.000
0.000 0.000 8.233
Zn Cr Cl
1 1 2
direct
0.000 0.000 0.000 Zn
0.500 0.500 0.770 Cr
0.000 0.000 0.599 Cl
0.500 0.500 0.167 Cl



ErZr2Si, relaxed, DFT GGA-PBE; symmetry = R-3m; E_tot = -80.2 eV per cell; M_tot = 0.0005 μB per atom
1.0
3.560 0.000 0.000
-1.780 3.083 0.000
0.000 0.000 28.395
Er Zr Si
3 6 3
direct
0.000 0.000 0.000 Er
0.333 0.667 0.667 Er
0.667 0.333 0.333 Er
0.000 0.000 0.111 Zr
0.000 0.000 0.889 Zr
0.333 0.667 0.555 Zr
0.333 0.667 0.778 Zr
0.667 0.333 0.222 Zr
0.667 0.333 0.445 Zr
0.000 0.000 0.500 Si
0.333 0.667 0.167 Si
0.667 0.333 0.833 Si